Computed, not measured: crystalline HoSc4In at its relaxed geometry at the PBE level of DFT.

Cell and atoms, written as POSCAR:
```
HoSc4In
1.0
-6.201 3.332 3.678
0.570 -5.369 5.826
3.616 3.530 2.899
Sc In Ho
8 2 2
direct
0.000 0.330 0.667
0.000 0.670 0.667
0.500 0.170 0.833
0.330 0.000 0.333
0.170 0.500 0.167
0.830 0.500 0.167
0.670 0.000 0.333
0.500 0.830 0.833
0.500 0.500 0.000
0.000 0.000 0.500
0.000 0.000 0.000
0.500 0.500 0.500
```

As for the space group: No. 137. The value obtained for the calculated formation energy is 3.24 eV per formula unit. The raw total energy comes out at -58.806 eV per cell.